Below is a relaxed structure of Pm4Er15Sc, with properties calculated at the GGA-PBE level.

a b c (Å): 6.093 6.093 17.624
angles (deg): 90.00 90.00 70.81
Sites, in units of the cell vectors:
Er 0.000 0.500 0.500
Er 0.500 0.000 0.500
Er 0.001 0.500 0.702
Er 0.500 0.500 0.600
Er 0.501 0.500 0.802
Er 0.500 0.500 0.000
Er 0.500 0.000 0.903
Er 0.500 0.000 0.097
Er 0.999 0.500 0.298
Er 0.500 0.500 0.400
Er 0.499 0.500 0.198
Er 0.000 0.500 0.903
Er 0.000 0.500 0.097
Er 0.499 0.000 0.298
Er 0.501 0.000 0.702
Sc 0.000 0.000 0.000
Pm 0.001 0.000 0.804
Pm 0.000 0.000 0.399
Pm 0.999 0.000 0.196
Pm 0.000 0.000 0.601

Results
The value obtained for the magnetization is 0.00 μB/f.u. The value obtained for the uncorrected energy is -4.66 eV/atom. As for the symmetry: Cmmm (65). Its energy relative to the elements is 53 kJ/mol of formula units.